# 1
3
Lattice="0.000 2.942 2.942 2.942 0.000 2.942 2.942 2.942 0.000" Properties=species:S:1:pos:R:3 comment="SiIrSe, PBEsol geometry, DFT meta-GGA SCAN" final_energy_ev_per_atom=-33.916 formation_energy_uncorrected_mev_per_atom=-185 pbc="T T T"
Si 0.000 0.000 0.000
Ir 1.471 1.471 1.471
Se 2.942 2.942 2.942

# 2
4
Lattice="3.381 0.000 0.000 0.000 3.381 0.000 0.000 0.000 5.186" Properties=species:S:1:pos:R:3 comment="ZrCu2P, PBEsol geometry, DFT meta-GGA SCAN" formation_enthalpy_0k_mev_per_atom=-147 final_energy_ev_per_atom=-18.021 pbc="T T T"
Zr 0.000 0.000 0.000
Cu 1.691 1.691 1.386
Cu 1.691 1.691 3.800
P 0.000 0.000 2.593

# 3
3
Lattice="2.899 0.000 0.000 -1.449 2.510 0.000 0.000 0.000 6.389" Properties=species:S:1:pos:R:3 comment="ScFePt, PBEsol geometry, DFT meta-GGA SCAN" formation_enthalpy_0k_mev_per_atom=-214 final_energy_ev_per_atom=-34.401 pbc="T T T"
Sc 0.000 0.000 0.000
Fe 1.449 0.837 4.271
Pt 0.000 1.674 2.222

# 4
4
Lattice="0.000 3.480 3.480 3.480 0.000 3.480 3.480 3.480 0.000" Properties=species:S:1:pos:R:3 comment="SrLiAl2, PBEsol geometry, DFT meta-GGA SCAN" formation_enthalpy_0k_mev_per_atom=-54 final_energy_ev_per_atom=-10.096 de_polymorph_mev_per_atom=143 pbc="T T T"
Sr 0.000 0.000 0.000
Li 5.219 5.219 5.219
Al 1.740 1.740 1.740
Al 3.480 3.480 3.480